Entry 1
# PBE-GGA AgAuCS2, relaxed
data_AgAuCS2
_cell_length_a 2.8354
_cell_length_b 4.7571
_cell_length_c 9.2309
_cell_angle_alpha 76.57
_cell_angle_beta 87.18
_cell_angle_gamma 72.87
_symmetry_space_group_name_H-M 'P 1'
_symmetry_Int_Tables_number 1
_symmetry_space_group_name_Hall 'P 1'
loop_
_atom_site_label
_atom_site_type_symbol
_atom_site_fract_x
_atom_site_fract_y
_atom_site_fract_z
Ag1 Ag 0.0000 0.0000 0.0000
Au1 Au 0.7183 0.6214 0.8163
C1 C 0.6995 0.7337 0.5881
S1 S 0.1904 0.7874 0.4788
S2 S 0.7410 0.4894 0.0837
# size of the total moment	0.000	μB per formula unit
# mass density	5.468	Mg/m³
# volume	116	Å³ per cell



Entry 2
# PBE-GGA AgAuCS2, relaxed
data_AgAuCS2
_cell_length_a 4.2150
_cell_length_b 5.4427
_cell_length_c 6.1732
_cell_angle_alpha 96.29
_cell_angle_beta 106.45
_cell_angle_gamma 107.37
_symmetry_space_group_name_H-M 'P 1'
_symmetry_Int_Tables_number 1
_symmetry_space_group_name_Hall 'P 1'
loop_
_atom_site_label
_atom_site_type_symbol
_atom_site_fract_x
_atom_site_fract_y
_atom_site_fract_z
Ag1 Ag 0.0000 0.0000 0.0000
Au1 Au 0.6603 0.4063 0.9742
C1 C 0.9601 0.7326 0.2214
S1 S 0.0876 0.7464 0.4922
S2 S 0.1485 0.1490 0.6676
# size of the total moment	0.000	μB per formula unit
# mass density	4.994	Mg/m³
# volume	127	Å³ per cell



Entry 3
# PBE-GGA AgAuCS2, relaxed
data_AgAuCS2
_cell_length_a 4.3858
_cell_length_b 4.3877
_cell_length_c 8.6542
_cell_angle_alpha 75.51
_cell_angle_beta 75.36
_cell_angle_gamma 60.01
_symmetry_space_group_name_H-M 'P 1'
_symmetry_Int_Tables_number 1
_symmetry_space_group_name_Hall 'P 1'
loop_
_atom_site_label
_atom_site_type_symbol
_atom_site_fract_x
_atom_site_fract_y
_atom_site_fract_z
Ag1 Ag 0.0000 0.0000 0.0000
Au1 Au 0.5923 0.5891 0.2298
C1 C 0.5173 0.5116 0.4610
S1 S 0.4572 0.4496 0.6458
S2 S 0.6823 0.6820 0.9528
# size of the total moment	0.000	μB per formula unit
# mass density	4.583	Mg/m³
# volume	138	Å³ per cell



Entry 4
# PBE-GGA AgAuCS2, relaxed
data_AgAuCS2
_cell_length_a 7.9075
_cell_length_b 3.5681
_cell_length_c 8.7853
_cell_angle_alpha 90.00
_cell_angle_beta 96.67
_cell_angle_gamma 90.00
_symmetry_space_group_name_H-M 'C 1 m 1'
_symmetry_Int_Tables_number 8
_symmetry_space_group_name_Hall 'C -2y'
loop_
_atom_site_label
_atom_site_type_symbol
_atom_site_fract_x
_atom_site_fract_y
_atom_site_fract_z
Ag1 Ag 0.0000 0.0000 0.0000
Au1 Au 0.2027 0.0000 0.7269
C1 C 0.0296 0.5000 0.1500
S1 S 0.0486 0.5000 0.3286
S2 S 0.4051 0.5000 0.7103
# size of the total moment	0.000	μB per formula unit
# mass density	5.139	Mg/m³
# volume	246	Å³ per cell



Verdict on stability: entry 4 comes out at the bottom.



Entry 1
# PBE-GGA AgAuCS2, relaxed
data_AgAuCS2
_cell_length_a 5.0231
_cell_length_b 5.4024
_cell_length_c 5.4898
_cell_angle_alpha 97.96
_cell_angle_beta 116.93
_cell_angle_gamma 107.87
_symmetry_space_group_name_H-M 'P 1'
_symmetry_Int_Tables_number 1
_symmetry_space_group_name_Hall 'P 1'
loop_
_atom_site_label
_atom_site_type_symbol
_atom_site_fract_x
_atom_site_fract_y
_atom_site_fract_z
Ag1 Ag 0.0000 0.0000 0.0000
Au1 Au 0.4582 0.4515 0.9156
C1 C 0.3861 0.9521 0.3402
S1 S 0.5472 0.7204 0.3353
S2 S 0.6072 0.1696 0.6903
# size of the total moment	0.000	μB per formula unit
# mass density	5.296	Mg/m³
# volume	119	Å³ per cell



Entry 2
# PBE-GGA AgAuCS2, relaxed
data_AgAuCS2
_cell_length_a 4.4411
_cell_length_b 4.9196
_cell_length_c 7.8830
_cell_angle_alpha 89.27
_cell_angle_beta 74.87
_cell_angle_gamma 63.64
_symmetry_space_group_name_H-M 'P 1'
_symmetry_Int_Tables_number 1
_symmetry_space_group_name_Hall 'P 1'
loop_
_atom_site_label
_atom_site_type_symbol
_atom_site_fract_x
_atom_site_fract_y
_atom_site_fract_z
Ag1 Ag 0.0000 0.0000 0.0000
Au1 Au 0.4029 0.3693 0.8153
C1 C 0.9453 0.8828 0.2485
S1 S 0.8927 0.8219 0.4413
S2 S 0.9949 0.2535 0.7400
# size of the total moment	0.000	μB per formula unit
# mass density	4.277	Mg/m³
# volume	148	Å³ per cell



Entry 3
# PBE-GGA AgAuCS2, relaxed
data_AgAuCS2
_cell_length_a 4.1680
_cell_length_b 5.3371
_cell_length_c 6.4006
_cell_angle_alpha 87.85
_cell_angle_beta 73.82
_cell_angle_gamma 73.83
_symmetry_space_group_name_H-M 'P 1'
_symmetry_Int_Tables_number 1
_symmetry_space_group_name_Hall 'P 1'
loop_
_atom_site_label
_atom_site_type_symbol
_atom_site_fract_x
_atom_site_fract_y
_atom_site_fract_z
Ag1 Ag 0.0000 0.0000 0.0000
Au1 Au 0.5318 0.1250 0.5937
C1 C 0.6900 0.2412 0.2678
S1 S 0.3665 0.4895 0.3629
S2 S 0.6386 0.8070 0.8301
# size of the total moment	0.000	μB per formula unit
# mass density	4.822	Mg/m³
# volume	131	Å³ per cell



Verdict on stability: entry 3 comes out at the bottom.